[1]
PBE Zr3TiOs, relaxed; DOS(E_F) = 7.9 states/eV/f.u.; VASP energy = -8.39 eV/atom; ΔH_f (0 K) = 0.569 eV per atom
1.0
-2.482 -3.127 -3.069
4.183 -0.640 -2.730
1.305 -3.895 2.913
Zr Ti Os
3 1 1
Direct
0.500 0.000 0.000 Zr
0.000 0.500 0.000 Zr
0.000 0.000 0.500 Zr
0.500 0.500 0.500 Ti
0.000 0.000 0.000 Os

---

[2]
PBE ZrTi2Os, relaxed; DOS(E_F) = 3.9 states/eV/f.u.; VASP energy = -9.22 eV/atom; ΔH_f (0 K) = -0.330 eV per atom
1.0
3.121 0.000 0.000
0.000 3.121 0.000
0.000 0.000 7.090
Ti Os Zr
2 1 1
Direct
0.000 0.000 0.214 Ti
0.000 0.000 0.786 Ti
0.500 0.500 0.000 Os
0.500 0.500 0.500 Zr

---

[3]
PBE Zr2TiOs3, relaxed; DOS(E_F) = 1.3 states/eV/f.u.; VASP energy = -10.33 eV/atom; ΔH_f (0 K) = -0.548 eV per atom
1.0
3.209 0.000 0.000
0.000 3.209 0.000
0.000 0.000 9.764
Os Ti Zr
3 1 2
Direct
0.000 0.000 0.654 Os
0.000 0.000 0.000 Os
0.000 0.000 0.346 Os
0.500 0.500 0.500 Ti
0.500 0.500 0.172 Zr
0.500 0.500 0.828 Zr

---

[4]
PBE Zr2TiOs, relaxed; DOS(E_F) = 5.5 states/eV/f.u.; VASP energy = -9.28 eV/atom; ΔH_f (0 K) = -0.229 eV per atom
1.0
3.299 0.000 0.000
0.000 4.741 0.000
0.000 0.000 4.741
Ti Zr Os
1 2 1
Direct
0.500 0.500 0.500 Ti
0.000 0.500 0.000 Zr
0.000 0.000 0.500 Zr
0.500 0.000 0.000 Os

---

[5]
PBE ZrTiOs, relaxed; DOS(E_F) = 1.9 states/eV/f.u.; VASP energy = -9.72 eV/atom; ΔH_f (0 K) = -0.492 eV per atom
1.0
-3.110 -1.953 -3.780
4.970 -1.723 0.314
-1.080 -1.309 4.989
Os Zr Ti
2 2 2
Direct
0.500 0.000 0.500 Os
0.000 0.500 0.500 Os
0.250 0.119 0.869 Zr
0.750 0.881 0.131 Zr
0.500 0.500 0.500 Ti
0.000 0.500 0.000 Ti

---

[6]
PBE ZrTi2Os2, relaxed; DOS(E_F) = 6.8 states/eV/f.u.; VASP energy = -9.62 eV/atom; ΔH_f (0 K) = -0.261 eV per atom
1.0
7.459 0.000 0.000
0.000 7.459 0.000
0.000 0.000 3.060
Zr Ti Os
2 4 4
Direct
0.500 0.500 0.000 Zr
0.000 0.000 0.000 Zr
0.148 0.648 0.500 Ti
0.648 0.852 0.500 Ti
0.352 0.148 0.500 Ti
0.852 0.352 0.500 Ti
0.645 0.145 0.000 Os
0.145 0.355 0.000 Os
0.355 0.855 0.000 Os
0.855 0.645 0.000 Os

---

[7]
PBE ZrTi2Os, relaxed; DOS(E_F) = 6.7 states/eV/f.u.; VASP energy = -9.11 eV/atom; ΔH_f (0 K) = -0.221 eV per atom
1.0
0.000 3.220 3.220
3.220 0.000 3.220
3.220 3.220 0.000
Zr Ti Os
1 2 1
Direct
0.000 0.000 0.000 Zr
0.250 0.250 0.250 Ti
0.750 0.750 0.750 Ti
0.500 0.500 0.500 Os

---

[8]
PBE ZrTi2Os, relaxed; DOS(E_F) = 5.5 states/eV/f.u.; VASP energy = -9.08 eV/atom; ΔH_f (0 K) = -0.184 eV per atom
1.0
3.189 0.000 0.000
0.000 4.587 0.000
0.000 0.000 4.587
Os Ti Zr
1 2 1
Direct
0.500 0.000 0.000 Os
0.000 0.000 0.500 Ti
0.000 0.500 0.000 Ti
0.500 0.500 0.500 Zr

---

[9]
PBE ZrTi2Os, relaxed; DOS(E_F) = 4.6 states/eV/f.u.; VASP energy = -9.24 eV/atom; ΔH_f (0 K) = -0.346 eV per atom
1.0
3.028 0.000 -0.943
-0.600 4.226 -1.928
0.046 -0.093 5.482
Os Ti Zr
1 2 1
Direct
0.500 0.000 0.000 Os
0.226 0.226 0.453 Ti
0.774 0.774 0.547 Ti
0.000 0.500 0.000 Zr

---

[10]
PBE ZrTiOs, relaxed; DOS(E_F) = 2.7 states/eV/f.u.; VASP energy = -9.54 eV/atom; ΔH_f (0 K) = -0.316 eV per atom
1.0
-1.678 -2.079 1.437
2.460 -3.233 -1.804
1.167 1.761 3.910
Ti Os Zr
1 1 1
Direct
0.700 0.333 0.667 Ti
0.986 0.000 0.000 Os
0.314 0.667 0.333 Zr

---

[11]
PBE Zr2TiOs, relaxed; DOS(E_F) = 5.6 states/eV/f.u.; VASP energy = -9.26 eV/atom; ΔH_f (0 K) = -0.207 eV per atom
1.0
-1.438 2.226 1.914
-1.948 -2.318 1.233
4.776 -1.301 5.098
Zr Os Ti
2 1 1
Direct
0.000 0.000 0.768 Zr
0.000 0.000 0.232 Zr
0.500 0.500 0.000 Os
0.500 0.500 0.500 Ti

---

[12]
PBE ZrTi2Os2, relaxed; DOS(E_F) = 6.9 states/eV/f.u.; VASP energy = -9.56 eV/atom; ΔH_f (0 K) = -0.202 eV per atom
1.0
4.065 0.000 0.000
0.000 4.065 0.000
2.032 2.032 5.547
Zr Ti Os
1 2 2
Direct
0.000 0.000 0.000 Zr
0.250 0.750 0.500 Ti
0.750 0.250 0.500 Ti
0.613 0.613 0.775 Os
0.387 0.387 0.225 Os